Density functional theory data (PBE with a Hubbard U) for an optimized crystal structure of Li2Mn3NbO8.

Results
Total magnetization = 12.00 μB/f.u.
Energy relative to the lowest polymorph listed for this composition = 27 meV/atom

abc: 6.205 6.236 8.376
angles: 91.17 90.70 94.38
Space group P-1 (No. 2)
Asymmetric unit:
Li: 0.242 0.019 0.127
Li: 0.256 0.493 0.377
Mn: 0.000 0.000 0.500
Mn: 0.000 0.500 0.000
Mn: 0.242 0.260 0.747
Mn: 0.500 0.000 0.500
Mn: 0.500 0.500 0.000
Nb: 0.255 0.763 0.757
O: 0.012 0.524 0.767
O: 0.035 0.997 0.740
O: 0.235 0.225 0.518
O: 0.240 0.297 0.983
O: 0.265 0.763 0.987
O: 0.267 0.766 0.514
O: 0.464 0.510 0.763
O: 0.492 0.992 0.736